Density functional theory data (PBE-GGA) for HoPuMnGa after structural relaxation.

The structure belongs to space group F-43m (No. 216); the cell edges are 7.088, 7.088 and 7.088 Å and the angles 90.00°, 90.00° and 90.00°. The distinct sites, in fractional coordinates, are Ho at (0.000, 0.000, 0.000), Pu at (0.000, 0.000, 0.500), Mn at (0.250, 0.250, 0.750) and Ga at (0.250, 0.250, 0.250).

For the total energy, the calculation gives -123.133 eV/cell. The formation energy comes out at 7.8 kJ per mole of atoms.